# 1
5
Lattice="4.102 0.000 0.000 0.000 4.712 0.000 0.000 0.000 4.102" Properties=species:S:1:pos:R:3 comment="Al2InRuF, relaxed, DFT PBE" e_tot_ev_per_cell=-21.93 mass_density_g_cm3=6.05 total_magnetization_mub_per_cell=0.00 space_group=P4/mmm raw_formation_energy_ev_per_atom=-0.111 pbc="T T T"
In 0.000 2.356 0.000
F 0.000 0.000 0.000
Ru 2.051 2.356 2.051
Al 0.000 0.000 2.051
Al 2.051 0.000 0.000



# 2
3
Lattice="-0.167 1.254 -2.810 3.880 -2.677 -1.424 -4.555 -1.792 -0.529" Properties=species:S:1:pos:R:3 comment="PuScNb, relaxed, DFT PBE" e_tot_ev_per_cell=-30.36 polymorph_energy_mev_per_atom=0.0 mass_density_g_cm3=9.80 total_magnetization_mub_per_cell=4.67 space_group=P3m1 e_form_ev_per_atom=0.126 pbc="T T T"
Nb -1.772 -1.871 -1.312
Sc 0.957 -1.547 -2.997
Pu -0.027 0.203 -0.455



# 3
11
Lattice="4.913 0.000 -0.884 -0.982 5.651 -5.454 0.903 -6.900 19.107" Properties=species:S:1:pos:R:3 comment="Y5Ho4Tm2, relaxed, DFT PBE" e_tot_ev_per_cell=-59.29 polymorph_energy_mev_per_atom=0.0 mass_density_g_cm3=6.96 total_magnetization_mub_per_cell=0.00 space_group=C2/m e_form_ev_per_atom=0.026 pbc="T T T"
Y 0.989 -0.053 5.498
Ho 5.420 -5.739 16.022
Ho 1.780 -2.324 9.889
Y 0.202 2.216 1.123
Y 4.632 -3.465 11.646
Ho 3.055 1.075 2.879
Tm 2.261 3.372 -1.528
Tm 2.573 -4.620 14.296
Ho -0.586 4.490 -3.253
Y 3.845 -1.195 7.271
Y 2.457 0.000 -0.442



# 4
9
Lattice="8.185 0.001 0.001 4.093 7.087 0.000 0.000 -0.001 8.482" Properties=species:S:1:pos:R:3 comment="CsHoPbI6, relaxed, DFT PBE" e_tot_ev_per_cell=-29.20 mass_density_g_cm3=4.27 total_magnetization_mub_per_cell=0.00 space_group=P312 raw_formation_energy_ev_per_atom=-1.195 pbc="T T T"
I 2.690 4.374 6.036
I 1.650 2.571 2.445
I 5.496 4.373 2.445
Pb 8.185 4.725 4.241
I 3.052 0.142 6.037
I 6.535 2.573 6.037
Ho 4.093 2.362 4.241
I 5.133 0.142 2.446
Cs 8.184 0.000 8.482